# 1
# Ca4CdAg3 | the Alexandria database | PBE | relaxed
data_Ca4CdAg3
_space_group_name_H-M_alt 'C 1 2/m 1'
_space_group_IT_number 12
_cell_length_a 15.973
_cell_length_b 5.278
_cell_length_c 5.278
_cell_angle_alpha 90.00
_cell_angle_beta 109.03
_cell_angle_gamma 90.00
loop_
_space_group_symop_operation_xyz
'x,y,z'
'-x,-y,-z'
'-x,y,-z'
'x,-y,z'
'x+1/2,y+1/2,z'
'-x+1/2,-y+1/2,-z'
'-x+1/2,y+1/2,-z'
'x+1/2,-y+1/2,z'
loop_
_atom_site_label
_atom_site_type_symbol
_atom_site_fract_x
_atom_site_fract_y
_atom_site_fract_z
Ca1 Ca 0.127 0.000 0.127
Ca2 Ca 0.127 0.500 0.627
Cd1 Cd 0.000 0.000 0.500
Ag1 Ag 0.000 0.500 0.000
Ag2 Ag 0.247 0.000 0.747
# **Crystal system**: monoclinic
# **Density of states at the Fermi level**: 13.408 states/eV/cell
# **Offset from the most stable computed form**: 0.05 eV per formula unit
# **Formation energy from the elements**: -312 meV/atom


# 2
# Ca3Cd3Ag2 | the Alexandria database | PBE | relaxed
data_Ca3Cd3Ag2
_space_group_name_H-M_alt 'P -6 2 m'
_space_group_IT_number 189
_space_group_name_Hall 'P -6 -2'
_cell_length_a 7.7119
_cell_length_b 7.7119
_cell_length_c 4.0969
_cell_angle_alpha 90.00
_cell_angle_beta 90.00
_cell_angle_gamma 120.00
loop_
_atom_site_label
_atom_site_type_symbol
_atom_site_fract_x
_atom_site_fract_y
_atom_site_fract_z
Ca1 Ca 0.0000 0.5996 0.0000
Cd1 Cd 0.0000 0.2360 0.5000
Ag1 Ag 0.3333 0.6667 0.5000
# **Crystal system**: hexagonal
# **Density of states at the Fermi level**: 4.207 states/eV/cell
# **Formation energy from the elements**: -315 meV/atom


# 3
# CaCdAg2 | the Alexandria database | PBE | relaxed
data_CaCdAg2
_space_group_name_H-M_alt 'P 4/m m m'
_space_group_IT_number 123
_space_group_name_Hall '-P 4 2'
_cell_length_a 3.588
_cell_length_b 3.588
_cell_length_c 6.945
_cell_angle_alpha 90.00
_cell_angle_beta 90.00
_cell_angle_gamma 90.00
loop_
_atom_site_label
_atom_site_type_symbol
_atom_site_fract_x
_atom_site_fract_y
_atom_site_fract_z
Ca1 Ca 0.000 0.000 0.000
Cd1 Cd 0.000 0.000 0.500
Ag1 Ag 0.500 0.500 0.279
# **Crystal system**: tetragonal
# **Density of states at the Fermi level**: 1.674 states/eV/cell
# **Formation energy from the elements**: -201 meV/atom


# 4
# CaCd2Ag2 | the Alexandria database | PBE | relaxed
data_CaCd2Ag2
_space_group_name_H-M_alt 'P -1'
_space_group_IT_number 2
_cell_length_a 5.641
_cell_length_b 6.849
_cell_length_c 7.782
_cell_angle_alpha 93.78
_cell_angle_beta 110.30
_cell_angle_gamma 114.21
loop_
_space_group_symop_operation_xyz
'x,y,z'
'-x,-y,-z'
loop_
_atom_site_label
_atom_site_type_symbol
_atom_site_fract_x
_atom_site_fract_y
_atom_site_fract_z
Ca1 Ca 0.091 0.247 0.247
Cd1 Cd 0.192 0.346 0.770
Cd2 Cd 0.431 0.861 0.278
Ag1 Ag 0.280 0.671 0.551
Ag2 Ag 0.455 0.182 0.050
# **Crystal system**: triclinic
# **Density of states at the Fermi level**: 4.444 states/eV/cell
# **Offset from the most stable computed form**: 0.17 eV per formula unit
# **Formation energy from the elements**: -173 meV/atom


Number 1: E -2.497 eV per atom. Number 2: E -2.122 eV per atom. Number 3: E -2.356 eV per atom. Number 4: E -2.080 eV per atom.